1.
Below is a relaxed structure of GaNiRh2, with properties calculated at the GGA-PBE level.

As for the theoretical density: 9.29 g/cm³. The calculation puts the density of states at the Fermi level at 1.531 states/eV per atom. The calculation puts the total DFT energy (no corrections) at -5.74 eV/atom. Its total moment is 0.01 μB/f.u.

It has space group I-42d (No. 122), with a = 3.717 Å, b = 3.717 Å, c = 17.300 Å, α = 90.00°, β = 90.00° and γ = 90.00°. The distinct sites, in fractional coordinates, are Ga at (0.000, 0.000, 0.000), Ni at (0.000, 0.000, 0.500) and Rh at (0.237, 0.250, 0.625).

2.
Below is a relaxed structure of ReOsCl2, with properties calculated at the GGA-PBE level.

As for the uncorrected formation energy: 2.27 eV/f.u. Its excess energy over the best structure of this formula in the dataset is 0.582 eV per atom. As for the theoretical density: 10.13 g/cm³. The calculation puts the density of states at the Fermi level at 1.180 states/eV per atom. The calculation puts the total DFT energy (no corrections) at -6.27 eV/atom. Its total moment is 0.00 μB/f.u.

It has space group Cmm2 (No. 35), with a = 2.837 Å, b = 5.294 Å, c = 9.763 Å, α = 90.00°, β = 90.00° and γ = 90.00°. The distinct sites, in fractional coordinates, are Re at (0.000, 0.000, 0.000), Os at (0.000, 0.500, 0.223), Cl at (0.000, 0.000, 0.432) and Cl at (0.000, 0.500, 0.793).

3.
Below is a relaxed structure of KB2Se3, with properties calculated at the GGA-PBE level.

As for the uncorrected formation energy: -0.65 eV/f.u. As for the theoretical density: 3.50 g/cm³. The calculation puts the density of states at the Fermi level at 0.135 states/eV per atom. The calculation puts the total DFT energy (no corrections) at -4.26 eV/atom. Its total moment is 0.00 μB/f.u.

It has space group C2/m (No. 12), with a = 20.278 Å, b = 3.900 Å, c = 7.241 Å, α = 90.00°, β = 99.31° and γ = 90.00°. The distinct sites, in fractional coordinates, are K at (0.143, 0.000, 0.444), B at (0.059, 0.500, 0.938), B at (0.198, 0.000, 0.006), Se at (0.037, 0.500, 0.204), Se at (0.103, 0.000, 0.863) and Se at (0.220, 0.500, 0.146).